Record 1
This record from Alexandria describes Ta2InTe after structural relaxation. The functional is GGA-PBE.

Uncorrected formation energy = 0.56 eV/atom
Space-group type = I-42d, No. 122
ΔE to the lowest computed polymorph = 498.3 meV/atom

The structure in CIF format:
```
data_Ta2InTe
_symmetry_space_group_name_H-M 'P 1'
_symmetry_Int_Tables_number 1
_cell_length_a 4.193
_cell_length_b 4.193
_cell_length_c 10.591
_cell_angle_alpha 78.58
_cell_angle_beta 78.58
_cell_angle_gamma 90.00
loop_
_symmetry_equiv_pos_as_xyz
'x,y,z'
loop_
_atom_site_label
_atom_site_fract_x
_atom_site_fract_y
_atom_site_fract_z
In1 0.250 0.750 0.500
In2 0.500 0.500 0.000
Te1 0.000 0.000 0.000
Te2 0.750 0.250 0.500
Ta1 0.612 0.125 0.250
Ta2 0.138 0.625 0.250
Ta3 0.375 0.388 0.750
Ta4 0.875 0.862 0.750
```



Record 2
This record from Alexandria describes Ta2InTe after structural relaxation. The functional is GGA-PBE.

Uncorrected formation energy = 0.06 eV/atom
Space-group type = P4mm, No. 99
ΔE to the lowest computed polymorph = 0.0 meV/atom

The structure in CIF format:
```
data_Ta2InTe
_symmetry_space_group_name_H-M 'P 1'
_symmetry_Int_Tables_number 1
_cell_length_a 3.485
_cell_length_b 3.485
_cell_length_c 7.365
_cell_angle_alpha 90.00
_cell_angle_beta 90.00
_cell_angle_gamma 90.00
loop_
_symmetry_equiv_pos_as_xyz
'x,y,z'
loop_
_atom_site_label
_atom_site_fract_x
_atom_site_fract_y
_atom_site_fract_z
Te1 0.000 0.000 0.437
In1 0.500 0.500 0.802
Ta1 0.000 0.000 0.030
Ta2 0.500 0.500 0.231
```



Record 3
This record from Alexandria describes Ta2InTe after structural relaxation. The functional is GGA-PBE.

Uncorrected formation energy = 0.49 eV/atom
Space-group type = Cmmm, No. 65
ΔE to the lowest computed polymorph = 425.5 meV/atom

The structure in CIF format:
```
data_Ta2InTe
_symmetry_space_group_name_H-M 'P 1'
_symmetry_Int_Tables_number 1
_cell_length_a 3.118
_cell_length_b 3.118
_cell_length_c 9.327
_cell_angle_alpha 90.00
_cell_angle_beta 90.00
_cell_angle_gamma 113.74
loop_
_symmetry_equiv_pos_as_xyz
'x,y,z'
loop_
_atom_site_label
_atom_site_fract_x
_atom_site_fract_y
_atom_site_fract_z
Ta1 0.000 0.000 0.009
Ta2 0.000 0.000 0.491
Te1 0.500 0.500 0.250
In1 0.500 0.500 0.750
```



Record 4
This record from Alexandria describes TaInTe4 after structural relaxation. The functional is GGA-PBE.

Uncorrected formation energy = -0.21 eV/atom
Space-group type = C2/m, No. 12
ΔE to the lowest computed polymorph = 0.0 meV/atom

The structure in CIF format:
```
data_TaInTe4
_symmetry_space_group_name_H-M 'P 1'
_symmetry_Int_Tables_number 1
_cell_length_a 3.846
_cell_length_b 7.550
_cell_length_c 12.783
_cell_angle_alpha 93.32
_cell_angle_beta 90.00
_cell_angle_gamma 90.00
loop_
_symmetry_equiv_pos_as_xyz
'x,y,z'
loop_
_atom_site_label
_atom_site_fract_x
_atom_site_fract_y
_atom_site_fract_z
Te1 0.500 0.194 0.367
Te2 0.500 0.145 0.869
Te3 0.500 0.855 0.131
Te4 0.000 0.306 0.133
Te5 0.000 0.694 0.867
Te6 0.000 0.355 0.631
Te7 0.000 0.645 0.369
Te8 0.500 0.806 0.633
In1 0.000 0.000 0.500
In2 0.500 0.500 0.000
Ta1 0.000 0.000 0.000
Ta2 0.500 0.500 0.500
```



Record 5
This record from Alexandria describes Ta2InTe after structural relaxation. The functional is GGA-PBE.

Uncorrected formation energy = 0.39 eV/atom
Space-group type = P4/mmm, No. 123
ΔE to the lowest computed polymorph = 329.8 meV/atom

The structure in CIF format:
```
data_Ta2InTe
_symmetry_space_group_name_H-M 'P 1'
_symmetry_Int_Tables_number 1
_cell_length_a 4.942
_cell_length_b 4.942
_cell_length_c 3.269
_cell_angle_alpha 90.00
_cell_angle_beta 90.00
_cell_angle_gamma 90.00
loop_
_symmetry_equiv_pos_as_xyz
'x,y,z'
loop_
_atom_site_label
_atom_site_fract_x
_atom_site_fract_y
_atom_site_fract_z
Ta1 0.500 0.500 0.000
Ta2 0.000 0.000 0.000
Te1 0.500 0.000 0.500
In1 0.000 0.500 0.500
```



Record 6
This record from Alexandria describes Ta2InTe after structural relaxation. The functional is GGA-PBE.

Uncorrected formation energy = 0.47 eV/atom
Space-group type = C2/m, No. 12
ΔE to the lowest computed polymorph = 402.3 meV/atom

The structure in CIF format:
```
data_Ta2InTe
_symmetry_space_group_name_H-M 'P 1'
_symmetry_Int_Tables_number 1
_cell_length_a 5.451
_cell_length_b 5.451
_cell_length_c 3.139
_cell_angle_alpha 79.97
_cell_angle_beta 79.97
_cell_angle_gamma 112.35
loop_
_symmetry_equiv_pos_as_xyz
'x,y,z'
loop_
_atom_site_label
_atom_site_fract_x
_atom_site_fract_y
_atom_site_fract_z
Te1 0.500 0.000 0.500
In1 0.000 0.500 0.500
Ta1 0.500 0.500 0.000
Ta2 0.000 0.000 0.000
```



Record 7
This record from Alexandria describes Ta2InTe after structural relaxation. The functional is GGA-PBE.

Uncorrected formation energy = 0.44 eV/atom
Space-group type = Immm, No. 71
ΔE to the lowest computed polymorph = 371.1 meV/atom

The structure in CIF format:
```
data_Ta2InTe
_symmetry_space_group_name_H-M 'P 1'
_symmetry_Int_Tables_number 1
_cell_length_a 5.608
_cell_length_b 5.608
_cell_length_c 5.608
_cell_angle_alpha 144.34
_cell_angle_beta 125.87
_cell_angle_gamma 66.52
loop_
_symmetry_equiv_pos_as_xyz
'x,y,z'
loop_
_atom_site_label
_atom_site_fract_x
_atom_site_fract_y
_atom_site_fract_z
Ta1 0.995 0.995 0.000
Ta2 0.505 0.505 0.000
Te1 0.750 0.250 0.500
In1 0.250 0.750 0.500
```



Record 8
This record from Alexandria describes TaInTe after structural relaxation. The functional is GGA-PBE.

Uncorrected formation energy = 0.35 eV/atom
Space-group type = P-6m2, No. 187
ΔE to the lowest computed polymorph = 298.2 meV/atom

The structure in CIF format:
```
data_TaInTe
_symmetry_space_group_name_H-M 'P 1'
_symmetry_Int_Tables_number 1
_cell_length_a 5.077
_cell_length_b 5.077
_cell_length_c 2.992
_cell_angle_alpha 90.00
_cell_angle_beta 90.00
_cell_angle_gamma 120.00
loop_
_symmetry_equiv_pos_as_xyz
'x,y,z'
loop_
_atom_site_label
_atom_site_fract_x
_atom_site_fract_y
_atom_site_fract_z
Te1 0.667 0.333 0.500
In1 0.000 0.000 0.000
Ta1 0.333 0.667 0.500
```



Record 9
This record from Alexandria describes Ta2InTe after structural relaxation. The functional is GGA-PBE.

Uncorrected formation energy = 0.18 eV/atom
Space-group type = Cmm2, No. 35
ΔE to the lowest computed polymorph = 119.6 meV/atom

The structure in CIF format:
```
data_Ta2InTe
_symmetry_space_group_name_H-M 'P 1'
_symmetry_Int_Tables_number 1
_cell_length_a 3.068
_cell_length_b 3.068
_cell_length_c 10.419
_cell_angle_alpha 90.00
_cell_angle_beta 90.00
_cell_angle_gamma 108.86
loop_
_symmetry_equiv_pos_as_xyz
'x,y,z'
loop_
_atom_site_label
_atom_site_fract_x
_atom_site_fract_y
_atom_site_fract_z
Ta1 0.000 0.000 0.030
Ta2 0.500 0.500 0.231
In1 0.500 0.500 0.793
Te1 0.000 0.000 0.445
```



Record 10
This record from Alexandria describes Ta4InTe8 after structural relaxation. The functional is GGA-PBE.

Uncorrected formation energy = -0.27 eV/atom
Space-group type = R-3m, No. 166

The structure in CIF format:
```
data_Ta4InTe8
_symmetry_space_group_name_H-M 'P 1'
_symmetry_Int_Tables_number 1
_cell_length_a 7.399
_cell_length_b 7.399
_cell_length_c 9.813
_cell_angle_alpha 90.00
_cell_angle_beta 112.15
_cell_angle_gamma 120.00
loop_
_symmetry_equiv_pos_as_xyz
'x,y,z'
loop_
_atom_site_label
_atom_site_fract_x
_atom_site_fract_y
_atom_site_fract_z
Ta1 0.500 0.000 0.000
Ta2 0.000 0.000 0.000
Ta3 0.000 0.500 0.000
Ta4 0.500 0.500 0.000
In1 0.000 0.500 0.500
Te1 0.529 0.765 0.793
Te2 0.029 0.765 0.793
Te3 0.472 0.736 0.207
Te4 0.471 0.235 0.207
Te5 0.971 0.736 0.207
Te6 0.971 0.235 0.207
Te7 0.528 0.264 0.793
Te8 0.029 0.264 0.793
```



Record 11
This record from Alexandria describes Ta2InTe after structural relaxation. The functional is GGA-PBE.

Uncorrected formation energy = 0.48 eV/atom
Space-group type = I-4m2, No. 119
ΔE to the lowest computed polymorph = 410.6 meV/atom

The structure in CIF format:
```
data_Ta2InTe
_symmetry_space_group_name_H-M 'P 1'
_symmetry_Int_Tables_number 1
_cell_length_a 5.432
_cell_length_b 5.432
_cell_length_c 5.432
_cell_angle_alpha 134.17
_cell_angle_beta 134.17
_cell_angle_gamma 66.82
loop_
_symmetry_equiv_pos_as_xyz
'x,y,z'
loop_
_atom_site_label
_atom_site_fract_x
_atom_site_fract_y
_atom_site_fract_z
Te1 0.500 0.500 0.000
In1 0.750 0.250 0.500
Ta1 0.250 0.750 0.500
Ta2 0.000 0.000 0.000
```



Record 12
This record from Alexandria describes Ta2InTe after structural relaxation. The functional is GGA-PBE.

Uncorrected formation energy = 0.32 eV/atom
Space-group type = P4/mmm, No. 123
ΔE to the lowest computed polymorph = 255.9 meV/atom

The structure in CIF format:
```
data_Ta2InTe
_symmetry_space_group_name_H-M 'P 1'
_symmetry_Int_Tables_number 1
_cell_length_a 3.280
_cell_length_b 3.280
_cell_length_c 7.433
_cell_angle_alpha 90.00
_cell_angle_beta 90.00
_cell_angle_gamma 90.00
loop_
_symmetry_equiv_pos_as_xyz
'x,y,z'
loop_
_atom_site_label
_atom_site_fract_x
_atom_site_fract_y
_atom_site_fract_z
Ta1 0.000 0.000 0.489
Ta2 0.000 0.000 0.011
In1 0.500 0.500 0.750
Te1 0.500 0.500 0.250
```



Record 13
This record from Alexandria describes Ta2InTe after structural relaxation. The functional is GGA-PBE.

Uncorrected formation energy = 0.43 eV/atom
Space-group type = Pmmm, No. 47
ΔE to the lowest computed polymorph = 368.3 meV/atom

The structure in CIF format:
```
data_Ta2InTe
_symmetry_space_group_name_H-M 'P 1'
_symmetry_Int_Tables_number 1
_cell_length_a 3.461
_cell_length_b 5.076
_cell_length_c 4.679
_cell_angle_alpha 90.00
_cell_angle_beta 90.00
_cell_angle_gamma 90.00
loop_
_symmetry_equiv_pos_as_xyz
'x,y,z'
loop_
_atom_site_label
_atom_site_fract_x
_atom_site_fract_y
_atom_site_fract_z
Ta1 0.500 0.500 0.000
Ta2 0.000 0.000 0.000
In1 0.000 0.500 0.500
Te1 0.500 0.000 0.500
```



Record 14
This record from Alexandria describes Ta2InTe after structural relaxation. The functional is GGA-PBE.

Uncorrected formation energy = 0.33 eV/atom
Space-group type = R-3m, No. 166
ΔE to the lowest computed polymorph = 261.4 meV/atom

The structure in CIF format:
```
data_Ta2InTe
_symmetry_space_group_name_H-M 'P 1'
_symmetry_Int_Tables_number 1
_cell_length_a 9.323
_cell_length_b 9.323
_cell_length_c 9.323
_cell_angle_alpha 19.88
_cell_angle_beta 19.88
_cell_angle_gamma 19.88
loop_
_symmetry_equiv_pos_as_xyz
'x,y,z'
loop_
_atom_site_label
_atom_site_fract_x
_atom_site_fract_y
_atom_site_fract_z
Te1 0.250 0.250 0.250
In1 0.750 0.750 0.750
Ta1 0.996 0.996 0.996
Ta2 0.504 0.504 0.504
```



Record 15
This record from Alexandria describes Ta2InTe after structural relaxation. The functional is GGA-PBE.

Uncorrected formation energy = 0.47 eV/atom
Space-group type = P2/m, No. 10
ΔE to the lowest computed polymorph = 405.5 meV/atom

The structure in CIF format:
```
data_Ta2InTe
_symmetry_space_group_name_H-M 'P 1'
_symmetry_Int_Tables_number 1
_cell_length_a 4.528
_cell_length_b 3.135
_cell_length_c 5.897
_cell_angle_alpha 78.00
_cell_angle_beta 90.00
_cell_angle_gamma 90.00
loop_
_symmetry_equiv_pos_as_xyz
'x,y,z'
loop_
_atom_site_label
_atom_site_fract_x
_atom_site_fract_y
_atom_site_fract_z
In1 0.500 0.750 0.750
Ta1 0.000 0.487 0.494
Ta2 0.000 0.013 0.006
Te1 0.500 0.250 0.250
```



Record 16
This record from Alexandria describes Ta2InTe after structural relaxation. The functional is GGA-PBE.

Uncorrected formation energy = 0.12 eV/atom
Space-group type = R3m, No. 160
ΔE to the lowest computed polymorph = 58.5 meV/atom

The structure in CIF format:
```
data_Ta2InTe
_symmetry_space_group_name_H-M 'P 1'
_symmetry_Int_Tables_number 1
_cell_length_a 9.585
_cell_length_b 9.585
_cell_length_c 9.585
_cell_angle_alpha 20.09
_cell_angle_beta 20.09
_cell_angle_gamma 20.09
loop_
_symmetry_equiv_pos_as_xyz
'x,y,z'
loop_
_atom_site_label
_atom_site_fract_x
_atom_site_fract_y
_atom_site_fract_z
Ta1 0.254 0.254 0.254
Ta2 0.992 0.992 0.992
In1 0.741 0.741 0.741
Te1 0.513 0.513 0.513
```



Record 17
This record from Alexandria describes Ta2InTe after structural relaxation. The functional is GGA-PBE.

Uncorrected formation energy = 0.34 eV/atom
Space-group type = Imm2, No. 44
ΔE to the lowest computed polymorph = 273.7 meV/atom

The structure in CIF format:
```
data_Ta2InTe
_symmetry_space_group_name_H-M 'P 1'
_symmetry_Int_Tables_number 1
_cell_length_a 5.666
_cell_length_b 5.666
_cell_length_c 5.666
_cell_angle_alpha 143.90
_cell_angle_beta 128.87
_cell_angle_gamma 64.18
loop_
_symmetry_equiv_pos_as_xyz
'x,y,z'
loop_
_atom_site_label
_atom_site_fract_x
_atom_site_fract_y
_atom_site_fract_z
In1 0.242 0.742 0.500
Ta1 0.985 0.985 0.000
Ta2 0.754 0.254 0.500
Te1 0.519 0.519 0.000
```



Record 18
This record from Alexandria describes Ta2InTe after structural relaxation. The functional is GGA-PBE.

Uncorrected formation energy = 0.30 eV/atom
Space-group type = Cm, No. 8
ΔE to the lowest computed polymorph = 235.5 meV/atom

The structure in CIF format:
```
data_Ta2InTe
_symmetry_space_group_name_H-M 'P 1'
_symmetry_Int_Tables_number 1
_cell_length_a 5.342
_cell_length_b 5.342
_cell_length_c 5.153
_cell_angle_alpha 72.90
_cell_angle_beta 72.90
_cell_angle_gamma 36.37
loop_
_symmetry_equiv_pos_as_xyz
'x,y,z'
loop_
_atom_site_label
_atom_site_fract_x
_atom_site_fract_y
_atom_site_fract_z
Te1 0.485 0.485 0.551
Ta1 0.737 0.737 0.726
Ta2 0.016 0.016 0.021
In1 0.263 0.263 0.201
```



Record 19
This record from Alexandria describes Ta2InTe after structural relaxation. The functional is GGA-PBE.

Uncorrected formation energy = 0.57 eV/atom
Space-group type = F-43m, No. 216
ΔE to the lowest computed polymorph = 509.8 meV/atom

The structure in CIF format:
```
data_Ta2InTe
_symmetry_space_group_name_H-M 'P 1'
_symmetry_Int_Tables_number 1
_cell_length_a 4.902
_cell_length_b 4.902
_cell_length_c 4.902
_cell_angle_alpha 60.00
_cell_angle_beta 60.00
_cell_angle_gamma 60.00
loop_
_symmetry_equiv_pos_as_xyz
'x,y,z'
loop_
_atom_site_label
_atom_site_fract_x
_atom_site_fract_y
_atom_site_fract_z
In1 0.500 0.500 0.500
Ta1 0.000 0.000 0.000
Ta2 0.250 0.250 0.250
Te1 0.750 0.750 0.750
```



Record 20
This record from Alexandria describes ThTaIn after structural relaxation. The functional is GGA-PBE.

Space-group type = C2/m, No. 12
Energy of formation = 0.155 eV per atom

The structure in CIF format:
```
data_ThTaIn
_symmetry_space_group_name_H-M 'P 1'
_symmetry_Int_Tables_number 1
_cell_length_a 4.825
_cell_length_b 5.576
_cell_length_c 6.331
_cell_angle_alpha 98.03
_cell_angle_beta 112.40
_cell_angle_gamma 90.00
loop_
_symmetry_equiv_pos_as_xyz
'x,y,z'
loop_
_atom_site_label
_atom_site_fract_x
_atom_site_fract_y
_atom_site_fract_z
Th1 0.877 0.688 0.754
Th2 0.123 0.312 0.246
In1 0.423 0.241 0.845
In2 0.577 0.759 0.155
Ta1 0.783 0.134 0.567
Ta2 0.217 0.866 0.433
```



Total DFT energy (no corrections) per entry: -6.833, -7.332, -6.906, -4.734, -7.002, -6.929, -6.961, -5.564, -7.212, -6.057, -6.921, -7.076, -6.963, -7.070, -6.926, -7.273, -7.058, -7.096, -6.822, -7.182 eV/atom
Total moment per entry: 0.00, 0.00, 0.00, 0.00, 0.00, 0.00, 0.00, 0.00, 0.00, 0.00, 0.00, 0.00, 0.00, 0.00, 0.00, 0.00, 0.00, 0.00, 0.00, 0.00 μB per formula unit